The following is a GGA-PBE calculation of a relaxed structure of PmHo, from the Open Quantum Materials Database.

**Symmetry**: F-43m, No. 216
**Formation enthalpy at 0 K**: 172 kJ/mol of atoms
**E above lowest polymorph**: 1752.6 meV per atom
**Mass density**: 5.99 g/cm³

Cell lengths 4.952, 4.952, 4.952 Å; angles 60.00, 60.00, 60.00 degrees
Fractional positions:
Pm: 0.000 0.000 0.000
Ho: 0.250 0.250 0.250

The following is a GGA-PBE calculation of a relaxed structure of PmHoPt, from the Open Quantum Materials Database.

**Symmetry**: P4/mmm, No. 123
**Formation enthalpy at 0 K**: 14 kJ/mol of atoms
**Mass density**: 8.82 g/cm³

Cell lengths 3.909, 3.909, 6.221 Å; angles 90.00, 90.00, 90.00 degrees
Fractional positions:
Pm: 0.000 0.000 0.000
Ho: 0.000 0.000 0.500
Pt: 0.500 0.500 0.000

The following is a GGA-PBE calculation of a relaxed structure of PmHoS2, from the Open Quantum Materials Database.

**Symmetry**: P4/mmm, No. 123
**DFT total energy**: -25.5 eV for the cell shown
**Mass density**: 7.09 g/cm³

Cell lengths 3.957, 3.957, 5.597 Å; angles 90.00, 90.00, 90.00 degrees
Fractional positions:
Pm: 0.000 0.000 0.000
Ho: 0.500 0.500 0.500
S: 0.000 0.000 0.500
S: 0.500 0.500 0.000

The following is a GGA-PBE calculation of a relaxed structure of PmHo3S6, from the Open Quantum Materials Database.

**Symmetry**: P2_1/m, No. 11
**DFT total energy**: -128.3 eV for the cell shown
**Mass density**: 5.91 g/cm³

Cell lengths 11.025, 3.964, 11.297 Å; angles 90.00, 108.73, 90.00 degrees
Fractional positions:
Pm: 0.047 0.250 0.193
Pm: 0.953 0.750 0.807
Ho: 0.161 0.250 0.586
Ho: 0.319 0.750 0.998
Ho: 0.438 0.250 0.332
Ho: 0.562 0.750 0.668
Ho: 0.681 0.250 0.002
Ho: 0.839 0.750 0.414
S: 0.082 0.750 0.405
S: 0.116 0.250 0.963
S: 0.195 0.750 0.749
S: 0.262 0.750 0.226
S: 0.396 0.250 0.560
S: 0.478 0.250 0.112
S: 0.522 0.750 0.888
S: 0.604 0.750 0.440
S: 0.738 0.250 0.774
S: 0.805 0.250 0.251
S: 0.884 0.750 0.037
S: 0.918 0.250 0.595

The following is a GGA-PBE calculation of a relaxed structure of Pm3Ho2Sb3, from the Open Quantum Materials Database.

**Symmetry**: P6_3/mcm, No. 193
**DFT total energy**: -86.7 eV for the cell shown
**Mass density**: 8.17 g/cm³

Cell lengths 9.106, 9.106, 6.400 Å; angles 90.00, 90.00, 120.00 degrees
Fractional positions:
Pm: 0.000 0.248 0.250
Pm: 0.000 0.752 0.750
Pm: 0.248 0.000 0.250
Pm: 0.248 0.248 0.750
Pm: 0.752 0.000 0.750
Pm: 0.752 0.752 0.250
Ho: 0.333 0.667 0.000
Ho: 0.333 0.667 0.500
Ho: 0.667 0.333 0.000
Ho: 0.667 0.333 0.500
Sb: 0.000 0.392 0.750
Sb: 0.000 0.608 0.250
Sb: 0.392 0.000 0.750
Sb: 0.392 0.392 0.250
Sb: 0.608 0.000 0.250
Sb: 0.608 0.608 0.750

The following is a GGA-PBE calculation of a relaxed structure of Pm6HoSe8, from the Open Quantum Materials Database.

**Symmetry**: Fm-3m, No. 225
**DFT total energy**: -89.1 eV for the cell shown
**Mass density**: 6.76 g/cm³

Cell lengths 8.335, 8.335, 8.335 Å; angles 60.00, 60.00, 60.00 degrees
Fractional positions:
Pm: 0.000 0.000 0.500
Pm: 0.000 0.500 0.000
Pm: 0.000 0.500 0.500
Pm: 0.500 0.000 0.000
Pm: 0.500 0.000 0.500
Pm: 0.500 0.500 0.000
Ho: 0.000 0.000 0.000
Se: 0.247 0.247 0.753
Se: 0.247 0.753 0.247
Se: 0.247 0.753 0.753
Se: 0.250 0.250 0.250
Se: 0.750 0.750 0.750
Se: 0.753 0.247 0.247
Se: 0.753 0.247 0.753
Se: 0.753 0.753 0.247

The following is a GGA-PBE calculation of a relaxed structure of PmHoSi, from the Open Quantum Materials Database.

**Symmetry**: F-43m, No. 216
**DFT total energy**: -16.1 eV for the cell shown
**Mass density**: 6.73 g/cm³

Cell lengths 4.903, 4.903, 4.903 Å; angles 60.00, 60.00, 60.00 degrees
Fractional positions:
Pm: 0.000 0.000 0.000
Ho: 0.500 0.500 0.500
Si: 0.750 0.750 0.750

The following is a GGA-PBE calculation of a relaxed structure of PmSmHo, from the Open Quantum Materials Database.

**Symmetry**: F-43m, No. 216
**Formation enthalpy at 0 K**: 68 kJ/mol of atoms
**E above lowest polymorph**: 0.0 meV per atom
**Mass density**: 6.62 g/cm³

Cell lengths 5.466, 5.466, 5.466 Å; angles 60.00, 60.00, 60.00 degrees
Fractional positions:
Pm: 0.000 0.000 0.000
Sm: 0.500 0.500 0.500
Ho: 0.250 0.250 0.250